A relaxed GdNbN2O crystal, computed with PBE.

## Properties
Total magnetic moment in μB/cell: 0.01
Electronic total energy in eV per atom: -9.0529

a = 7.9469 Å, b = 7.9674 Å, c = 11.0702 Å
α = 90.00°, β = 133.76°, γ = 90.00°
With the nearest neighbours (Å) after each atom.
Sites, in units of the cell vectors:
Gd 0.9423 0.2398 0.9726  1 O 2.29, 3 N 2.32-2.47
Gd 0.9423 0.2602 0.4726  1 O 2.29, 3 N 2.32-2.47
Gd 0.4446 0.2645 0.4713  3 N 2.31-2.41, 1 O 2.33
Gd 0.5554 0.7355 0.5287  3 N 2.31-2.41, 1 O 2.33
Gd 0.0577 0.7398 0.5274  1 O 2.29, 3 N 2.32-2.47
Gd 0.0577 0.7602 0.0274  1 O 2.29, 3 N 2.32-2.47
Gd 0.5554 0.7645 0.0287  3 N 2.31-2.41, 1 O 2.33
Gd 0.4446 0.2355 0.9713  3 N 2.31-2.41, 1 O 2.33
Nb 0.5186 0.5103 0.7670  3 N 1.95-2.03, 2 O 2.17
Nb 0.5186 0.9897 0.2670  3 N 1.95-2.03, 2 O 2.17
Nb 0.4814 0.0103 0.7330  3 N 1.95-2.03, 2 O 2.17
Nb 0.4814 0.4897 0.2330  3 N 1.95-2.03, 2 O 2.17
Nb 0.9867 0.5021 0.2289  4 N 1.98-2.16, 1 O 2.19
Nb 0.9867 0.9979 0.7289  4 N 1.98-2.16, 1 O 2.19
Nb 0.0133 0.0021 0.2711  4 N 1.98-2.16, 1 O 2.19
Nb 0.0133 0.4979 0.7711  4 N 1.98-2.16, 1 O 2.19
N 0.6866 0.0570 0.5006  2 Nb 1.99-2.00
N 0.0343 0.2476 0.3143  2 Nb 1.99-2.16
N 0.0343 0.2524 0.8143  2 Nb 1.99-2.16
N 0.4699 0.7461 0.7829  1 Nb 1.95
N 0.6866 0.4430 0.0006  2 Nb 1.99-2.00
N 0.9657 0.7524 0.6857  2 Nb 1.99-2.16
N 0.8066 0.9536 0.3071  2 Nb 1.98-2.03
N 0.4699 0.7539 0.2829  1 Nb 1.95
N 0.8066 0.5464 0.8071  2 Nb 1.98-2.03
N 0.5301 0.2539 0.2171  1 Nb 1.95
N 0.9657 0.7476 0.1857  2 Nb 1.99-2.16
N 0.1934 0.4536 0.1929  2 Nb 1.98-2.03
N 0.3134 0.9430 0.4994  2 Nb 1.99-2.00
N 0.3134 0.5570 0.9994  2 Nb 1.99-2.00
N 0.5301 0.2461 0.7171  1 Nb 1.95
N 0.1934 0.0464 0.6929  2 Nb 1.98-2.03
O 0.1849 0.0487 0.1827  2 Nb 2.17-2.19, 1 Gd 2.29
O 0.3082 0.5449 0.5011  2 Nb 2.17-2.25, 1 Gd 2.33
O 0.3082 0.9551 0.0011  2 Nb 2.17-2.25, 1 Gd 2.33
O 0.1849 0.4513 0.6827  2 Nb 2.17-2.19, 1 Gd 2.29
O 0.8151 0.9513 0.8173  2 Nb 2.17-2.19, 1 Gd 2.29
O 0.6918 0.4551 0.4989  2 Nb 2.17-2.25, 1 Gd 2.33
O 0.6918 0.0449 0.9989  2 Nb 2.17-2.25, 1 Gd 2.33
O 0.8151 0.5487 0.3173  2 Nb 2.17-2.19, 1 Gd 2.29